# 1
Density functional theory data (PBE-GGA) for K2ZnAu6 after structural relaxation.

Cell lengths 5.635, 6.531, 6.896 Å; angles 70.42, 66.16, 89.65 degrees
Positions (direct):
K 0.172 0.316 0.153
K 0.828 0.684 0.847
Zn 0.500 0.000 0.500
Au 0.175 0.280 0.644
Au 0.279 0.909 0.947
Au 0.327 0.718 0.358
Au 0.673 0.282 0.642
Au 0.721 0.091 0.053
Au 0.825 0.720 0.356

Values from the calculation:
energy of formation = -1.94 eV per formula unit



# 2
Density functional theory data (PBE-GGA) for ReGeO2 after structural relaxation.

Cell lengths 7.473, 7.473, 7.473 Å; angles 22.40, 22.40, 22.40 degrees
Positions (direct):
Re 0.000 0.000 0.000
Ge 0.500 0.500 0.500
O 0.084 0.084 0.084
O 0.916 0.916 0.916

Values from the calculation:
uncorrected formation energy = -2.1 eV per formula unit



# 3
Density functional theory data (PBE-GGA) for Sb2Pb after structural relaxation.

Cell lengths 9.536, 9.536, 3.314 Å; angles 90.00, 90.00, 120.00 degrees
Positions (direct):
Sb 0.000 0.314 0.000
Sb 0.000 0.644 0.500
Sb 0.314 0.000 0.000
Sb 0.356 0.356 0.500
Sb 0.644 0.000 0.500
Sb 0.686 0.686 0.000
Pb 0.000 0.000 0.500
Pb 0.333 0.667 0.000
Pb 0.667 0.333 0.000

Values from the calculation:
uncorrected formation energy = 0.6 eV per formula unit
energy relative to the lowest polymorph listed for this composition = 0.382 eV/f.u.



Number 1: density of states at the Fermi level 0.19 states/eV per atom, magnetic moment 0.0 μB/f.u., final energy -2.785 eV/atom. Number 2: density of states at the Fermi level 0.51 states/eV per atom, magnetic moment 0.0 μB/f.u., final energy -7.277 eV/atom. Number 3: density of states at the Fermi level 0.81 states/eV per atom, magnetic moment 0.0 μB/f.u., final energy -3.790 eV/atom.